(1)
The following is a DFT calculation (GGA-PBE) of a relaxed structure of LiNp2Se4.

Structure (extended XYZ):
```
14
Lattice="6.7210 0.0000 0.0861 0.0000 6.6901 0.0000 -2.3757 0.0000 7.4810" Properties=species:S:1:pos:R:3 pbc="T T T"
Se -1.8694 5.0176 6.5751
Se 5.0209 1.6725 4.6500
Li 1.1919 5.0176 1.4030
Np 4.6933 5.0176 0.4709
Np -0.3480 1.6725 7.0962
Se 1.4834 3.4085 5.6314
Np 3.5227 5.0176 4.1974
Li 3.1535 1.6725 6.1641
Se 6.2148 1.6725 0.9920
Np 0.8226 1.6725 3.3697
Se 2.8620 3.2816 1.9357
Se 2.8620 0.0635 1.9357
Se 1.4834 6.6266 5.6314
Se -0.6755 5.0176 2.9171
```

magnetization: 0.017 μB/f.u.
SG: P2_1/m, No. 11
excess energy over the best structure of this formula in the dataset: 12.85 kJ/mol of atoms



(2)
The following is a DFT calculation (GGA-PBE) of a relaxed structure of MnReTc3.

Structure (extended XYZ):
```
5
Lattice="4.3272 0.0000 0.0000 0.0000 4.3272 0.0000 0.0000 0.0000 4.3272" Properties=species:S:1:pos:R:3 pbc="T T T"
Tc 0.0000 0.0000 2.1636
Tc 2.1636 0.0000 0.0000
Re 2.1636 2.1636 2.1636
Mn 0.0000 0.0000 0.0000
Tc 0.0000 2.1636 0.0000
```

magnetization: 0.002 μB/f.u.
calculated formation energy: 1.396 eV/atom
SG: Pm-3m, No. 221
excess energy over the best structure of this formula in the dataset: 0.00 kJ/mol of atoms



(3)
The following is a DFT calculation (GGA-PBE) of a relaxed structure of ThPaMo.

Structure (extended XYZ):
```
6
Lattice="-2.9249 2.4457 2.1707 -4.9482 1.0630 -3.4312 -4.6697 -3.7529 2.3699" Properties=species:S:1:pos:R:3 pbc="T T T"
Mo -5.1668 0.8672 0.9283
Pa -2.6811 0.7136 0.0170
Mo -7.3759 -1.1115 0.1810
Th -4.3461 -2.2031 1.0597
Th -8.1966 1.9588 0.0497
Pa -9.8615 -0.9579 1.0924
```

magnetization: 0.000 μB/f.u.
calculated formation energy: 0.115 eV/atom
SG: C2/m, No. 12
excess energy over the best structure of this formula in the dataset: 5.89 kJ/mol of atoms



(4)
The following is a DFT calculation (GGA-PBE) of a relaxed structure of TbPmDyCd.

Structure (extended XYZ):
```
4
Lattice="-0.2320 3.0968 -1.8695 -3.2896 -0.9598 -1.1816 -3.7551 4.0459 7.1678" Properties=species:S:1:pos:R:3 pbc="T T T"
Tb -4.7443 4.2830 4.1694
Dy -3.0687 2.4776 0.9709
Pm -0.2704 0.2914 0.5162
Cd -2.1400 2.3057 4.0848
```

magnetization: 0.000 μB/f.u.
calculated formation energy: -0.151 eV/atom
SG: P4mm, No. 99
excess energy over the best structure of this formula in the dataset: 0.00 kJ/mol of atoms



(5)
The following is a DFT calculation (GGA-PBE) of a relaxed structure of Ir2AuCl.

Structure (extended XYZ):
```
4
Lattice="4.9252 0.0089 0.0000 -1.4811 4.6973 0.0000 0.0000 0.0000 2.7985" Properties=species:S:1:pos:R:3 pbc="T T T"
Cl -0.7406 2.3486 1.3992
Ir 1.7221 2.3531 0.0000
Ir 0.0000 0.0000 0.0000
Au 2.4626 0.0045 1.3992
```

magnetization: 0.004 μB/f.u.
SG: Cmmm, No. 65
excess energy over the best structure of this formula in the dataset: 69.59 kJ/mol of atoms



(6)
The following is a DFT calculation (GGA-PBE) of a relaxed structure of Nd2Sm3Ho2.

Structure (extended XYZ):
```
7
Lattice="-3.2419 -0.0126 -1.3933 -1.2947 -8.0625 3.0855 -0.5567 6.9064 5.7009" Properties=species:S:1:pos:R:3 pbc="T T T"
Nd -4.0429 -0.5698 4.9436
Nd -1.0504 -0.5990 2.4494
Sm -1.9699 -3.5593 4.6156
Ho -3.0734 -6.4174 2.7409
Sm -3.1234 2.3905 2.7775
Sm -0.6474 -4.0313 1.5427
Ho -2.0199 5.2487 4.6521
```

magnetization: 0.000 μB/f.u.
calculated formation energy: 0.103 eV/atom
SG: C2/m, No. 12
excess energy over the best structure of this formula in the dataset: 8.55 kJ/mol of atoms



(7)
The following is a DFT calculation (GGA-PBE) of a relaxed structure of Rb6ZrSe4.

Structure (extended XYZ):
```
22
Lattice="-7.4861 1.0513 -3.7943 -1.9132 -11.1238 0.6927 -3.2903 6.8361 8.3858" Properties=species:S:1:pos:R:3 pbc="T T T"
Se -6.0588 1.3027 4.1856
Rb -9.2844 -7.7750 -1.9506
Rb -4.5549 0.8162 0.5264
Rb -6.5597 4.9815 5.6360
Se -8.0739 1.4178 0.4689
Se -10.0067 -0.1749 3.8411
Se -5.9751 -4.4634 4.1263
Rb -8.1187 -0.9971 -2.3726
Se -9.3428 -4.1583 -0.2759
Rb -11.2892 -3.6097 3.1590
Rb -8.1145 -6.5263 2.1364
Se -4.7529 -7.0027 1.0115
Zr -4.1471 -4.8880 2.3575
Rb -7.3467 -2.0618 1.8584
Rb -6.0261 -4.8054 -1.5072
Rb -7.7255 -1.7964 6.0580
Rb -5.0147 1.3374 7.6271
Se -4.0423 -2.8708 0.7542
Se -9.2960 3.9570 3.5838
Zr -8.3492 1.6243 3.0247
Rb -2.9263 3.0583 3.9835
Rb -3.6942 -1.4063 4.2615
```

magnetization: 0.000 μB/f.u.
VASP energy: -3.6122 eV/atom
SG: P6_3mc, No. 186



(8)
The following is a DFT calculation (GGA-PBE) of a relaxed structure of ScFe3Ge2.

Structure (extended XYZ):
```
12
Lattice="-0.6973 0.7108 3.6900 -0.5434 -7.4287 -0.6510 6.5512 2.6494 0.7276" Properties=species:S:1:pos:R:3 pbc="T T T"
Fe 2.4214 -1.1616 2.6607
Ge 4.3778 -0.9435 1.0090
Fe 1.5642 -4.9486 1.2489
Fe 3.7463 0.8802 2.5177
Sc 5.1998 -2.2066 3.3870
Sc 0.1107 -1.8618 0.3796
Fe 2.8891 -2.9069 1.1059
Fe 2.7793 -4.5013 3.3717
Ge 4.4716 -4.5790 1.7271
Ge 0.8389 0.5106 2.0395
Fe 2.5312 0.4329 0.3949
Ge 0.9327 -3.1249 2.7576
```

magnetization: 2.268 μB/f.u.
calculated formation energy: -0.298 eV/atom
SG: C2/m, No. 12



(9)
The following is a DFT calculation (GGA-PBE) of a relaxed structure of ZrTc2.

Structure (extended XYZ):
```
6
Lattice="1.6060 -6.8870 0.0000 1.6060 6.8870 0.0000 0.0000 0.0000 4.5633" Properties=species:S:1:pos:R:3 pbc="T T T"
Zr 1.6060 1.1760 3.4225
Tc 1.6060 -3.3769 3.4225
Zr 1.6060 -1.1760 1.1408
Tc 1.6060 -5.6380 1.1408
Tc 1.6060 5.6380 3.4225
Tc 1.6060 3.3769 1.1408
```

magnetization: 0.000 μB/f.u.
calculated formation energy: -0.171 eV/atom
SG: Cmcm, No. 63
excess energy over the best structure of this formula in the dataset: 13.62 kJ/mol of atoms



(10)
The following is a DFT calculation (GGA-PBE) of a relaxed structure of Mg2SbRh2.

Structure (extended XYZ):
```
5
Lattice="-2.4274 -2.3473 -1.7748 2.7678 -2.6025 -0.3436 -1.4983 -4.9899 4.5491" Properties=species:S:1:pos:R:3 pbc="T T T"
Sb 0.0000 0.0000 0.0000
Rh -0.9835 -6.9454 2.3317
Rh -0.1744 -2.9943 0.0990
Mg 0.7199 -5.0336 1.5731
Mg -1.8777 -4.9060 0.8575
```

magnetization: 0.000 μB/f.u.
SG: I4/mmm, No. 139
excess energy over the best structure of this formula in the dataset: 38.65 kJ/mol of atoms



(11)
The following is a DFT calculation (GGA-PBE) of a relaxed structure of Ba2SrCeO5.

Structure (extended XYZ):
```
18
Lattice="-3.6273 0.2705 1.4206 0.2023 -6.7785 -3.5596 3.6257 -5.2813 10.2632" Properties=species:S:1:pos:R:3 pbc="T T T"
O 1.3292 -10.6280 5.4177
O 0.8238 -6.8691 8.7785
O -1.2404 -8.5412 3.8263
O 0.3469 -6.3333 2.0919
O -0.7930 -1.6501 3.6564
Ba 2.1795 -4.9961 6.5164
Sr -0.7439 -3.1385 -1.3017
O -2.0097 -3.6722 0.9347
Sr -0.8426 -6.0476 4.3671
O -0.2159 -4.0037 5.5782
Ba 0.4702 -3.3785 1.8440
O 1.4726 -7.0424 5.1011
Ce 1.5619 -5.4105 10.3854
O -1.1770 -5.4644 -1.9648
Ce 0.1768 -8.6192 2.0927
Ba -2.4055 -6.1717 0.4003
O -0.0401 -1.0906 0.1053
Ba -0.1764 -8.5465 6.5439
```

magnetization: 0.093 μB/f.u.
VASP energy: -6.8600 eV/atom
SG: Cmc2_1, No. 36



(12)
The following is a DFT calculation (GGA-PBE) of a relaxed structure of Y2GaNiH.

Structure (extended XYZ):
```
5
Lattice="4.9654 0.0000 0.0000 0.0000 4.9654 0.0000 0.0000 0.0000 3.5346" Properties=species:S:1:pos:R:3 pbc="T T T"
Y 0.0000 2.4827 0.0000
Y 2.4827 0.0000 0.0000
Ni 0.0000 0.0000 1.7673
H 0.0000 0.0000 0.0000
Ga 2.4827 2.4827 1.7673
```

magnetization: 0.000 μB/f.u.
VASP energy: -5.5125 eV/atom
SG: P4/mmm, No. 123



(13)
The following is a DFT calculation (GGA-PBE) of a relaxed structure of NaScTc3.

Structure (extended XYZ):
```
5
Lattice="-0.0973 -1.8426 4.3507 -0.0874 -4.3502 -1.8443 4.7240 -0.1184 0.0555" Properties=species:S:1:pos:R:3 pbc="T T T"
Tc -0.0486 -0.9213 2.1754
Tc -0.0437 -2.1751 -0.9221
Tc 2.3620 -0.0592 0.0277
Sc 0.0000 0.0000 0.0000
Na 2.2697 -3.1556 1.2810
```

magnetization: 3.156 μB/f.u.
calculated formation energy: 1.823 eV/atom
SG: Pm-3m, No. 221
excess energy over the best structure of this formula in the dataset: 0.00 kJ/mol of atoms



(14)
The following is a DFT calculation (GGA-PBE) of a relaxed structure of Ca3TlF.

Structure (extended XYZ):
```
5
Lattice="4.9888 0.0000 0.0000 0.0000 4.9888 0.0000 0.0000 0.0000 4.9888" Properties=species:S:1:pos:R:3 pbc="T T T"
F 0.0000 0.0000 0.0000
Ca 0.0000 0.0000 2.4944
Ca 2.4944 0.0000 0.0000
Tl 2.4944 2.4944 2.4944
Ca 0.0000 2.4944 0.0000
```

magnetization: 0.000 μB/f.u.
SG: Pm-3m, No. 221
excess energy over the best structure of this formula in the dataset: 0.00 kJ/mol of atoms



(15)
The following is a DFT calculation (GGA-PBE) of a relaxed structure of YTlIn2.

Structure (extended XYZ):
```
4
Lattice="-5.0556 2.2625 2.2724 -3.7027 -4.0285 2.4297 5.8303 1.2663 0.4960" Properties=species:S:1:pos:R:3 pbc="T T T"
Y -1.8022 1.3229 2.5597
In 0.0000 0.0000 0.0000
In -1.1258 -1.8226 2.6383
Tl -4.3792 -0.8830 2.3510
```

magnetization: 0.000 μB/f.u.
calculated formation energy: -0.280 eV/atom
SG: I-4m2, No. 119



(16)
The following is a DFT calculation (GGA-PBE) of a relaxed structure of BaMnIn2Hg.

Structure (extended XYZ):
```
5
Lattice="-2.5250 1.0273 -4.3763 -4.5988 0.0139 2.6566 0.5253 5.0525 0.8829" Properties=species:S:1:pos:R:3 pbc="T T T"
Mn 0.0000 0.0000 0.0000
In -1.2625 0.5137 -2.1882
In 0.2627 2.5263 0.4415
Hg -2.2994 0.0069 1.3283
Ba -3.2993 3.0469 -0.4184
```

magnetization: 1.475 μB/f.u.
calculated formation energy: -0.110 eV/atom
SG: P4/mmm, No. 123



(17)
The following is a DFT calculation (GGA-PBE) of a relaxed structure of AcTb2Sm2.

Structure (extended XYZ):
```
10
Lattice="0.6655 8.2274 -3.5608 -3.5697 -6.5975 4.9542 7.8576 2.6772 8.5693" Properties=species:S:1:pos:R:3 pbc="T T T"
Tb 1.0417 3.3374 1.7746
Sm 2.1452 0.9931 5.6479
Ac -1.4521 0.8150 0.6967
Tb -0.7431 0.0387 4.2517
Sm 0.6907 -4.0984 8.5723
Tb 4.9705 4.6760 6.0593
Ac 3.5355 5.8598 2.8526
Sm -0.0617 5.6817 -2.0986
Tb 4.6378 0.5623 7.8397
Sm -2.8424 -4.0517 3.4920
```

magnetization: 0.000 μB/f.u.
calculated formation energy: 0.406 eV/atom
SG: Fddd, No. 70
excess energy over the best structure of this formula in the dataset: 35.06 kJ/mol of atoms



(18)
The following is a DFT calculation (GGA-PBE) of a relaxed structure of V6SiN.

Structure (extended XYZ):
```
8
Lattice="5.0812 0.0058 0.0025 2.5346 4.4076 0.0141 2.5295 1.4717 4.6971" Properties=species:S:1:pos:R:3 pbc="T T T"
V 5.9567 1.1753 3.6196
V 6.1461 4.5977 3.6250
Si 5.0727 2.9425 2.3569
V 7.0489 2.8310 1.0988
V 3.9992 1.2874 1.0887
N 0.0000 0.0000 0.0000
V 3.0964 3.0540 3.6149
V 4.1886 4.7097 1.0941
```

magnetization: 0.000 μB/f.u.
VASP energy: -8.7344 eV/atom
SG: P-1, No. 2



(19)
The following is a DFT calculation (GGA-PBE) of a relaxed structure of Dy2BiH.

Structure (extended XYZ):
```
4
Lattice="4.1358 0.0000 0.0000 2.0679 3.5817 0.0000 2.0679 1.1939 6.4635" Properties=species:S:1:pos:R:3 pbc="T T T"
Bi 4.1358 2.3878 3.2317
Dy 2.0679 1.1939 1.3007
H 0.0000 0.0000 0.0000
Dy 6.2037 3.5817 5.1627
```

magnetization: 0.000 μB/f.u.
SG: R-3m, No. 166
excess energy over the best structure of this formula in the dataset: 19.03 kJ/mol of atoms



(20)
The following is a DFT calculation (GGA-PBE) of a relaxed structure of NbTe2Ru.

Structure (extended XYZ):
```
4
Lattice="2.1557 -2.8749 3.1316 -1.0959 0.2714 4.6308 -2.4481 -3.5212 2.0800" Properties=species:S:1:pos:R:3 pbc="T T T"
Te -1.0412 -4.5935 7.3819
Te -0.3471 -1.5312 2.4606
Ru -0.6942 -3.0623 4.9212
Nb 0.0000 0.0000 0.0000
```

magnetization: 0.000 μB/f.u.
SG: Fm-3m, No. 225
excess energy over the best structure of this formula in the dataset: 39.95 kJ/mol of atoms



Number 1: density 7.83 g/cm3. Number 2: density 10.97 g/cm3. Number 3: density 12.44 g/cm3. Number 4: density 8.09 g/cm3. Number 5: density 15.81 g/cm3. Number 6: density 7.50 g/cm3. Number 7: density 3.26 g/cm3. Number 8: density 6.83 g/cm3. Number 9: density 9.45 g/cm3. Number 10: density 6.74 g/cm3. Number 11: density 5.53 g/cm3. Number 12: density 5.85 g/cm3. Number 13: density 5.69 g/cm3. Number 14: density 4.60 g/cm3. Number 15: density 8.30 g/cm3. Number 16: density 7.32 g/cm3. Number 17: density 7.49 g/cm3. Number 18: density 5.50 g/cm3. Number 19: density 9.28 g/cm3. Number 20: density 9.74 g/cm3.